# LiLuNiSn

Crystalline LiLuNiSn at its relaxed geometry (PBE, OQMD via LeMat-Bulk).

Cell and atoms, written as POSCAR:
```
LiLuNiSn
1.0
6.601 0.000 0.000
0.000 6.601 0.000
0.000 0.000 6.601
Li Lu Ni Sn
4 4 4 4
direct
0.000 0.000 0.000
0.000 0.500 0.500
0.500 0.000 0.500
0.500 0.500 0.000
0.250 0.250 0.750
0.250 0.750 0.250
0.750 0.250 0.250
0.750 0.750 0.750
0.250 0.250 0.250
0.250 0.750 0.750
0.750 0.250 0.750
0.750 0.750 0.250
0.000 0.000 0.500
0.000 0.500 0.000
0.500 0.000 0.000
0.500 0.500 0.500
```

Computed properties:
* uncorrected energy: -4.277 eV per atom
* SG: No. 216
* crystal system: cubic